The following is a DFT calculation (PBE) of Sr2HgPt2 after structural relaxation.

Lattice parameters (Å, degrees): 6.007 6.007 8.591 103.16 103.16 58.73
Fractional positions:
Sr 0.002 0.703 0.852
Sr 0.297 0.998 0.648
Sr 0.703 0.002 0.352
Sr 0.998 0.297 0.148
Hg 0.352 0.648 0.250
Hg 0.648 0.352 0.750
Pt 0.214 0.506 0.492
Pt 0.494 0.786 0.008
Pt 0.506 0.214 0.992
Pt 0.786 0.494 0.508

As for the density of states at the Fermi level: 3.6 states/eV per cell. Its total magnetic moment is 0.0 μB/cell. For the mass density, the calculation gives 9.95 Mg/m³. The value obtained for the total energy is -3.904 eV per atom.

---

The following is a DFT calculation (PBE) of TlSiWCl2 after structural relaxation.

Lattice parameters (Å, degrees): 5.278 5.278 5.407 90.00 90.00 90.00
Fractional positions:
Tl 0.000 0.000 0.000
Si 0.000 0.000 0.500
W 0.500 0.500 0.500
Cl 0.000 0.500 0.000
Cl 0.500 0.000 0.000

The uncorrected formation energy comes out at 1.512 eV per atom. As for the density of states at the Fermi level: 9.1 states/eV per cell. Its total magnetic moment is 4.3 μB/cell. For the mass density, the calculation gives 5.37 Mg/m³.

---

The following is a DFT calculation (PBE) of SnB after structural relaxation.

Lattice parameters (Å, degrees): 5.543 3.186 7.612 90.00 90.28 90.00
Fractional positions:
Sn 0.000 0.000 0.000
Sn 0.193 0.500 0.433
Sn 0.500 0.500 0.000
Sn 0.693 0.000 0.433
B 0.178 0.500 0.746
B 0.345 0.000 0.742
B 0.678 0.000 0.746
B 0.845 0.500 0.742

As for the density of states at the Fermi level: 2.7 states/eV per cell. Its total magnetic moment is 0.0 μB/cell. For the distance to the lowest polymorph of the same formula, the calculation gives 0.019 eV/atom. For the mass density, the calculation gives 6.40 Mg/m³.